## Tl2NiC4N4 (GGA-PBE)

Data for Tl2NiC4N4 after structural relaxation.

Values from the calculation:
E   -7.07 eV per atom
Total moment   0.00 μB/atom

abc: 6.100 7.196 9.844
angles: 90.00 112.97 90.00
Positions (direct):
Tl  0.191  0.157  0.418
Tl  0.191  0.343  0.918
Tl  0.809  0.657  0.082
Tl  0.809  0.843  0.582
Ni  0.500  0.000  0.000
Ni  0.500  0.500  0.500
C  0.242  0.656  0.440
C  0.242  0.844  0.940
C  0.494  0.000  0.811
C  0.494  0.500  0.311
C  0.506  0.000  0.189
C  0.506  0.500  0.689
C  0.758  0.156  0.060
C  0.758  0.344  0.560
N  0.082  0.738  0.899
N  0.082  0.762  0.399
N  0.490  0.002  0.691
N  0.490  0.498  0.191
N  0.510  0.502  0.809
N  0.510  0.998  0.309
N  0.918  0.238  0.601
N  0.918  0.262  0.101